Below is a relaxed Re2SiMo crystal, with properties calculated at the GGA-PBE level.

Cell and atoms, written as POSCAR:
```
Re2SiMo
1.0
1.4019 0.8094 8.6859
-1.4019 0.8094 8.6859
0.0000 -1.6188 8.6859
Re Si Mo
2 1 1
Direct
0.0000 0.0000 0.0000
0.2499 0.2499 0.2499
0.5031 0.5031 0.5031
0.7544 0.7544 0.7544
```

## Properties
**Crystal system**: trigonal
**Electronic total energy**: -10.233 eV per atom
**Total magnetization**: 0.00 μB per atom
**Energy relative to the elements, uncorrected**: 1.3 kcal/mol of atoms

Below is a relaxed ReSi2Mo crystal, with properties calculated at the GGA-PBE level.

Cell and atoms, written as POSCAR:
```
ReSi2Mo
1.0
2.8063 0.0000 0.0000
0.0000 3.8702 0.0000
-0.0085 0.0000 5.3532
Re Si Mo
1 2 1
Direct
0.0000 0.0000 0.0000
0.0029 0.5000 0.7283
0.9971 0.5000 0.2717
0.5000 0.0000 0.5000
```

## Properties
**Crystal system**: monoclinic
**Electronic total energy**: -8.525 eV per atom
**Total magnetization**: 0.00 μB per atom
**Energy relative to the elements, uncorrected**: 0.2 kcal/mol of atoms

Below is a relaxed ReSi2Mo crystal, with properties calculated at the GGA-PBE level.

Cell and atoms, written as POSCAR:
```
ReSi2Mo
1.0
4.4054 -1.5048 0.0000
4.4054 1.5048 0.0000
-1.2776 0.0000 4.2092
Re Si Mo
1 2 1
Direct
0.0000 0.0000 0.0000
0.4911 0.4911 0.4775
0.7439 0.7439 0.1514
0.2387 0.2387 0.6386
```

## Properties
**Crystal system**: monoclinic
**Electronic total energy**: -8.770 eV per atom
**Total magnetization**: 0.00 μB per atom
**Energy relative to the elements, uncorrected**: -5.5 kcal/mol of atoms

Below is a relaxed Sr2ReSiMo crystal, with properties calculated at the GGA-PBE level.

Cell and atoms, written as POSCAR:
```
Sr2ReSiMo
1.0
5.8625 0.0000 0.0000
0.0000 5.8625 0.0000
0.0000 0.0000 4.6721
Sr Re Si Mo
2 1 1 1
Direct
0.0000 0.5000 0.0000
0.5000 0.0000 0.0000
0.0000 0.0000 0.0000
0.0000 0.0000 0.5000
0.5000 0.5000 0.5000
```

## Properties
**Crystal system**: tetragonal
**Electronic total energy**: -5.158 eV per atom
**Total magnetization**: 1.09 μB per atom
**Energy relative to the elements, uncorrected**: 28.9 kcal/mol of atoms

Below is a relaxed ThReSi2Mo crystal, with properties calculated at the GGA-PBE level.

Cell and atoms, written as POSCAR:
```
ThReSi2Mo
1.0
-2.0633 2.0633 5.3474
2.0633 -2.0633 5.3474
2.0633 2.0633 -5.3474
Th Re Si Mo
1 1 2 1
Direct
0.0000 0.0000 0.0000
0.7500 0.2500 0.5000
0.3824 0.3824 0.0000
0.6176 0.6176 0.0000
0.2500 0.7500 0.5000
```

## Properties
**Crystal system**: tetragonal
**Electronic total energy**: -8.789 eV per atom
**Total magnetization**: 0.00 μB per atom
**Energy relative to the elements, uncorrected**: -11.1 kcal/mol of atoms

Below is a relaxed VReSiMo crystal, with properties calculated at the GGA-PBE level.

Cell and atoms, written as POSCAR:
```
VReSiMo
1.0
0.0000 3.0319 3.0319
3.0319 0.0000 3.0319
3.0319 3.0319 0.0000
V Re Si Mo
1 1 1 1
Direct
0.0000 0.0000 0.0000
0.2500 0.2500 0.2500
0.5000 0.5000 0.5000
0.7500 0.7500 0.7500
```

## Properties
**Crystal system**: cubic
**Electronic total energy**: -9.709 eV per atom
**Total magnetization**: 0.00 μB per atom
**Energy relative to the elements, uncorrected**: -5.8 kcal/mol of atoms

Below is a relaxed Sm2Re3Mo crystal, with properties calculated at the GGA-PBE level.

Cell and atoms, written as POSCAR:
```
Sm2Re3Mo
1.0
4.7355 -2.7417 0.0000
4.7355 2.7417 0.0000
-3.1632 0.0000 4.5256
Sm Re Mo
2 3 1
Direct
0.1240 0.1240 0.3727
0.8760 0.8760 0.6273
0.0000 0.5000 0.0000
0.5000 0.0000 0.0000
0.5000 0.5000 0.0000
0.5000 0.5000 0.5000
```

## Properties
**Crystal system**: monoclinic
**Electronic total energy**: -9.619 eV per atom
**Total magnetization**: 0.00 μB per atom
**ΔE_f**: -0.02 eV/atom

Below is a relaxed ReSnMo2 crystal, with properties calculated at the GGA-PBE level.

Cell and atoms, written as POSCAR:
```
ReSnMo2
1.0
-3.7298 3.7298 2.7481
3.7298 -3.7298 2.7481
3.7298 3.7298 -2.7481
Re Sn Mo
2 2 4
Direct
0.0000 0.0000 0.0000
0.7500 0.2500 0.5000
0.2500 0.7500 0.5000
0.5000 0.5000 0.0000
0.0762 0.6250 0.9512
0.3750 0.3262 0.4512
0.6738 0.1250 0.0488
0.8750 0.9238 0.5488
```

## Properties
**Crystal system**: tetragonal
**Electronic total energy**: -8.709 eV per atom
**Total magnetization**: 0.00 μB per atom
**ΔE_f**: 0.82 eV/atom

Below is a relaxed Re2SnMo crystal, with properties calculated at the GGA-PBE level.

Cell and atoms, written as POSCAR:
```
Re2SnMo
1.0
-1.9978 1.9978 9.3373
1.9978 -1.9978 9.3373
1.9978 1.9978 -9.3373
Re Sn Mo
4 2 2
Direct
0.0693 0.6250 0.9443
0.3750 0.3193 0.4443
0.6807 0.1250 0.0557
0.8750 0.9307 0.5557
0.2500 0.7500 0.5000
0.5000 0.5000 0.0000
0.0000 0.0000 0.0000
0.7500 0.2500 0.5000
```

## Properties
**Crystal system**: tetragonal
**Electronic total energy**: -8.968 eV per atom
**Total magnetization**: 0.11 μB per atom
**ΔE_f**: 0.96 eV/atom

Below is a relaxed Re3SnMo crystal, with properties calculated at the GGA-PBE level.

Cell and atoms, written as POSCAR:
```
Re3SnMo
1.0
4.7499 0.0000 0.0000
0.0000 4.7499 0.0000
0.0000 0.0000 4.7499
Re Sn Mo
3 1 1
Direct
0.0000 0.0000 0.5000
0.0000 0.5000 0.0000
0.5000 0.0000 0.0000
0.5000 0.5000 0.5000
0.0000 0.0000 0.0000
```

## Properties
**Crystal system**: cubic
**Electronic total energy**: -8.380 eV per atom
**Total magnetization**: 0.42 μB per atom
**ΔE_f**: 2.06 eV/atom
**Distance to the lowest polymorph of the same formula**: 0.000 eV/atom

Below is a relaxed ReSn3Mo crystal, with properties calculated at the GGA-PBE level.

Cell and atoms, written as POSCAR:
```
ReSn3Mo
1.0
5.1826 0.0000 0.0000
0.0000 5.1826 0.0000
0.0000 0.0000 5.1826
Re Sn Mo
1 3 1
Direct
0.0000 0.0000 0.0000
0.0000 0.0000 0.5000
0.0000 0.5000 0.0000
0.5000 0.0000 0.0000
0.5000 0.5000 0.5000
```

## Properties
**Crystal system**: cubic
**Electronic total energy**: -5.926 eV per atom
**Total magnetization**: 1.01 μB per atom
**ΔE_f**: 1.13 eV/atom
**Distance to the lowest polymorph of the same formula**: 0.000 eV/atom

Below is a relaxed Sr2ReMo crystal, with properties calculated at the GGA-PBE level.

Cell and atoms, written as POSCAR:
```
Sr2ReMo
1.0
2.8634 0.0000 0.0000
0.0000 5.3599 0.0000
0.0000 0.0000 5.7322
Sr Re Mo
2 1 1
Direct
0.0000 0.0000 0.2483
0.0000 0.0000 0.7517
0.5000 0.5000 0.0000
0.5000 0.5000 0.5000
```

## Properties
**Crystal system**: orthorhombic
**Electronic total energy**: -5.418 eV per atom
**Total magnetization**: 0.00 μB per atom
**ΔE_f**: 1.24 eV/atom
**Distance to the lowest polymorph of the same formula**: 0.787 eV/atom

Please write out number 10 again, unchanged.
Below is a relaxed Re3SnMo crystal, with properties calculated at the GGA-PBE level.

Cell and atoms, written as POSCAR:
```
Re3SnMo
1.0
4.7499 0.0000 0.0000
0.0000 4.7499 0.0000
0.0000 0.0000 4.7499
Re Sn Mo
3 1 1
Direct
0.0000 0.0000 0.5000
0.0000 0.5000 0.0000
0.5000 0.0000 0.0000
0.5000 0.5000 0.5000
0.0000 0.0000 0.0000
```

## Properties
**Crystal system**: cubic
**Electronic total energy**: -8.380 eV per atom
**Total magnetization**: 0.42 μB per atom
**ΔE_f**: 2.06 eV/atom
**Distance to the lowest polymorph of the same formula**: 0.000 eV/atom

What did the second record say?
Below is a relaxed ReSi2Mo crystal, with properties calculated at the GGA-PBE level.

Cell and atoms, written as POSCAR:
```
ReSi2Mo
1.0
2.8063 0.0000 0.0000
0.0000 3.8702 0.0000
-0.0085 0.0000 5.3532
Re Si Mo
1 2 1
Direct
0.0000 0.0000 0.0000
0.0029 0.5000 0.7283
0.9971 0.5000 0.2717
0.5000 0.0000 0.5000
```

## Properties
**Crystal system**: monoclinic
**Electronic total energy**: -8.525 eV per atom
**Total magnetization**: 0.00 μB per atom
**Energy relative to the elements, uncorrected**: 0.2 kcal/mol of atoms